! BaCrI2O (GGA+U, relaxed); values from VASP
! **Distance to the lowest polymorph of the same formula**: 0.000 eV/atom
&SYSTEM
  ibrav = 0, nat = 5, ntyp = 4
/
ATOMIC_SPECIES
Ba 137.33 Ba.upf
Cr 52.00 Cr.upf
I 126.90 I.upf
O 16.00 O.upf
ATOMIC_POSITIONS crystal
Ba 0.0000 0.0000 0.0000
Cr 0.5000 0.5000 0.5000
I 0.0000 0.5000 0.5000
I 0.5000 0.0000 0.5000
O 0.5000 0.5000 0.0000
CELL_PARAMETERS angstrom
6.0255 0.0000 0.0000
0.0000 6.0255 0.0000
0.0000 0.0000 3.9582